[1]
An optimized crystal structure of ZnCuRhO4. Source: Alexandria via LeMat-Bulk, functional PBE-GGA. Values from VASP.

V	11.3	Å³/atom
ΔE_f (raw)	-5.97	eV per formula unit
size of the total moment	0.97	μB/f.u.

Quantum ESPRESSO input file:
```
&SYSTEM
  ibrav = 0, nat = 14, ntyp = 4
/
ATOMIC_SPECIES
Zn 65.41 Zn.upf
Cu 63.55 Cu.upf
Rh 102.91 Rh.upf
O 16.00 O.upf
CELL_PARAMETERS angstrom
-2.887 3.042 4.508
2.887 -3.042 4.508
2.887 3.042 -4.508
ATOMIC_POSITIONS angstrom
Zn 0.000 1.521 1.412
Zn 2.887 1.521 3.096
Cu 1.444 1.521 -2.254
Cu 1.444 -1.521 2.254
Rh 2.887 0.000 0.000
Rh 0.000 0.000 4.508
O 2.887 -0.220 2.023
O 2.887 2.823 -2.023
O 1.567 1.521 0.204
O 4.207 1.521 0.204
O -1.320 1.521 4.305
O 1.320 1.521 4.305
O 0.000 0.220 6.532
O 0.000 3.262 2.485
```

=====

[2]
An optimized crystal structure of Cu2RuO2. Source: Alexandria via LeMat-Bulk, functional PBE-GGA. Values from VASP.

V	11.0	Å³/atom
energy above the most stable polymorph in this dataset	0.131	eV/atom
ΔE_f (raw)	2.48	eV per formula unit
size of the total moment	3.70	μB/f.u.

Quantum ESPRESSO input file:
```
&SYSTEM
  ibrav = 0, nat = 10, ntyp = 3
/
ATOMIC_SPECIES
Cu 63.55 Cu.upf
Ru 101.07 Ru.upf
O 16.00 O.upf
CELL_PARAMETERS angstrom
6.395 0.000 0.000
0.000 6.395 0.000
0.000 0.000 2.699
ATOMIC_POSITIONS angstrom
Cu 0.860 2.337 0.000
Cu 2.337 5.535 0.000
Cu 4.058 0.860 0.000
Cu 5.535 4.058 0.000
Ru 0.000 0.000 0.000
Ru 3.198 3.198 0.000
O 1.117 4.315 1.349
O 2.081 1.117 1.349
O 4.315 5.278 1.349
O 5.278 2.081 1.349
```

=====

[3]
An optimized crystal structure of CuRu3O. Source: Alexandria via LeMat-Bulk, functional PBE-GGA. Values from VASP.

V	18.7	Å³/atom
energy above the most stable polymorph in this dataset	1.802	eV/atom
ΔE_f (raw)	10.99	eV per formula unit
size of the total moment	8.26	μB/f.u.

Quantum ESPRESSO input file:
```
&SYSTEM
  ibrav = 0, nat = 5, ntyp = 3
/
ATOMIC_SPECIES
Cu 63.55 Cu.upf
Ru 101.07 Ru.upf
O 16.00 O.upf
CELL_PARAMETERS angstrom
4.537 0.000 0.000
0.000 4.537 0.000
0.000 0.000 4.537
ATOMIC_POSITIONS angstrom
Cu 0.000 0.000 0.000
Ru 0.000 0.000 2.269
Ru 0.000 2.269 0.000
Ru 2.269 0.000 0.000
O 2.269 2.269 2.269
```

=====

[4]
An optimized crystal structure of CuRu2O. Source: Alexandria via LeMat-Bulk, functional PBE-GGA. Values from VASP.

V	12.8	Å³/atom
ΔE_f (raw)	1.47	eV per formula unit
size of the total moment	0.00	μB/f.u.

Quantum ESPRESSO input file:
```
&SYSTEM
  ibrav = 0, nat = 8, ntyp = 3
/
ATOMIC_SPECIES
Cu 63.55 Cu.upf
Ru 101.07 Ru.upf
O 16.00 O.upf
CELL_PARAMETERS angstrom
-3.131 3.131 2.608
3.131 -3.131 2.608
3.131 3.131 -2.608
ATOMIC_POSITIONS angstrom
Cu 0.000 0.000 0.000
Cu 0.000 3.131 1.304
Ru 1.566 -1.025 1.956
Ru 2.107 1.566 0.652
Ru 1.566 4.156 -0.652
Ru 1.025 1.566 3.260
O 3.131 0.000 1.304
O 0.000 0.000 2.608
```

=====

Q: Number 1 is which compound?
A: ZnCuRhO4